Record 1
This record from Alexandria describes a geometry-optimized Fe6CuPt structure. The functional is PBEsol.

Cell lengths 6.251, 6.251, 10.219 Å; angles 90.00, 90.00, 109.77 degrees
Atoms (fractional coordinates):
Fe1 0.000 0.000 0.000
Fe2 0.000 0.000 0.500
Fe3 0.116 0.371 0.121
Fe4 0.116 0.371 0.879
Fe5 0.122 0.369 0.371
Fe6 0.122 0.369 0.629
Fe7 0.247 0.753 0.245
Fe8 0.247 0.753 0.755
Fe9 0.369 0.122 0.371
Fe10 0.369 0.122 0.629
Fe11 0.371 0.116 0.121
Fe12 0.371 0.116 0.879
Fe13 0.500 0.500 0.000
Fe14 0.500 0.500 0.500
Fe15 0.629 0.884 0.121
Fe16 0.629 0.884 0.879
Fe17 0.631 0.878 0.371
Fe18 0.631 0.878 0.629
Fe19 0.753 0.247 0.245
Fe20 0.753 0.247 0.755
Fe21 0.878 0.631 0.371
Fe22 0.878 0.631 0.629
Fe23 0.884 0.629 0.121
Fe24 0.884 0.629 0.879
Cu1 0.000 0.000 0.247
Cu2 0.000 0.000 0.753
Cu3 0.253 0.747 0.000
Cu4 0.747 0.253 0.000
Pt1 0.251 0.749 0.500
Pt2 0.500 0.500 0.246
Pt3 0.500 0.500 0.754
Pt4 0.749 0.251 0.500

## Properties
D(E_F)   38.91 states/eV/cell
ΔE_f   0.074 eV/atom
Size of the total moment   15.3 μB per formula unit
Space group   Cmmm (65)
Total energy   -257.96 eV for the cell shown

Record 2
This record from Alexandria describes a geometry-optimized Fe2CuPt structure. The functional is PBEsol.

Cell lengths 4.444, 4.444, 4.444 Å; angles 130.59, 130.59, 72.47 degrees
Atoms (fractional coordinates):
Fe1 0.000 0.000 0.000
Fe2 0.750 0.250 0.500
Cu1 0.250 0.750 0.500
Pt1 0.500 0.500 0.000

## Properties
D(E_F)   4.44 states/eV/cell
ΔE_f   -0.007 eV/atom
Size of the total moment   5.8 μB per formula unit
Space group   I-4m2 (119)
Total energy   -29.25 eV for the cell shown

Record 3
This record from Alexandria describes a geometry-optimized Fe2CuPt structure. The functional is PBEsol.

Cell lengths 2.609, 4.184, 4.529 Å; angles 90.00, 90.00, 90.00 degrees
Atoms (fractional coordinates):
Fe1 0.000 0.000 0.000
Fe2 0.000 0.500 0.321
Cu1 0.500 0.000 0.483
Pt1 0.500 0.500 0.819

## Properties
D(E_F)   2.98 states/eV/cell
ΔE_f   -0.015 eV/atom
Size of the total moment   5.5 μB per formula unit
Space group   Pmm2 (25)
Total energy   -29.29 eV for the cell shown

Record 4
This record from Alexandria describes a geometry-optimized Fe2CuPt structure. The functional is PBEsol.

Cell lengths 3.616, 3.616, 3.794 Å; angles 90.00, 90.00, 90.00 degrees
Atoms (fractional coordinates):
Fe1 0.000 0.500 0.000
Fe2 0.500 0.000 0.000
Cu1 0.000 0.000 0.500
Pt1 0.500 0.500 0.500

## Properties
D(E_F)   2.38 states/eV/cell
ΔE_f   -0.049 eV/atom
Size of the total moment   6.1 μB per formula unit
Space group   P4/mmm (123)
Total energy   -29.42 eV for the cell shown

Record 5
This record from Alexandria describes a geometry-optimized Fe2CuPt structure. The functional is PBEsol.

Cell lengths 2.624, 2.624, 7.195 Å; angles 90.00, 90.00, 90.00 degrees
Atoms (fractional coordinates):
Fe1 0.000 0.000 0.238
Fe2 0.000 0.000 0.762
Cu1 0.500 0.500 0.000
Pt1 0.500 0.500 0.500

## Properties
D(E_F)   2.90 states/eV/cell
ΔE_f   0.019 eV/atom
Size of the total moment   5.7 μB per formula unit
Space group   P4/mmm (123)
Total energy   -29.15 eV for the cell shown

Record 6
This record from Alexandria describes a geometry-optimized FeCuPt structure. The functional is PBEsol.

Cell lengths 4.126, 4.126, 2.605 Å; angles 90.00, 90.00, 120.00 degrees
Atoms (fractional coordinates):
Fe1 0.000 0.000 0.000
Cu1 0.333 0.667 0.199
Pt1 0.667 0.333 0.595

## Properties
D(E_F)   1.94 states/eV/cell
ΔE_f   -0.015 eV/atom
Size of the total moment   3.3 μB per formula unit
Space group   P3m1 (156)
Distance to the lowest polymorph of the same formula   0.095 eV per atom
Total energy   -20.31 eV for the cell shown

Record 7
This record from Alexandria describes a geometry-optimized Fe2CuPt structure. The functional is PBEsol.

Cell lengths 2.612, 3.718, 5.110 Å; angles 90.00, 90.00, 90.00 degrees
Atoms (fractional coordinates):
Fe1 0.000 0.000 0.242
Fe2 0.000 0.000 0.758
Cu1 0.500 0.500 0.000
Pt1 0.500 0.500 0.500

## Properties
D(E_F)   2.65 states/eV/cell
ΔE_f   -0.022 eV/atom
Size of the total moment   5.8 μB per formula unit
Space group   Pmmm (47)
Total energy   -29.31 eV for the cell shown

Record 8
This record from Alexandria describes a geometry-optimized Fe2CuPt structure. The functional is PBEsol.

Cell lengths 4.121, 4.121, 4.121 Å; angles 60.00, 60.00, 60.00 degrees
Atoms (fractional coordinates):
Fe1 0.000 0.000 0.000
Fe2 0.250 0.250 0.250
Cu1 0.500 0.500 0.500
Pt1 0.750 0.750 0.750

## Properties
D(E_F)   2.90 states/eV/cell
ΔE_f   0.003 eV/atom
Size of the total moment   5.7 μB per formula unit
Space group   F-43m (216)
Total energy   -29.21 eV for the cell shown